The following is a DFT calculation (GGA+U) of NiHgMo2O8 after structural relaxation.

a = 6.9846 Å, b = 6.9846 Å, c = 7.0886 Å
α = 90.00°, β = 90.00°, γ = 90.00°
Space group I-4m2 (No. 119)
Inequivalent atoms, fractional coordinates:
1 Ni 0.0000 0.0000 0.0000
2 Hg 0.0000 0.5000 0.2500
3 Mo 0.0000 0.0000 0.5000
4 Mo 0.0000 0.5000 0.7500
5 O 0.0000 0.2004 0.3441
6 O 0.0000 0.2873 0.8975

For the magnetization, the calculation gives 4.0 Bohr magnetons per cell. As for the raw total energy: -5.7648 eV per atom.